[1]
The following is a PBE calculation of a geometry-optimized TmTiZn structure, from Alexandria via LeMat-Bulk.

a b c (Å): 4.628 4.628 3.358
angles (deg): 90.00 90.00 120.00
Atoms (fractional coordinates):
Tm: 0.000 0.000 0.000
Ti: 0.667 0.333 0.501
Zn: 0.333 0.667 0.499

Output
- Calculated total energy: -4.4946 eV/atom
- ΔE to the lowest computed polymorph: 0 meV per atom
- Theoretical density: 7.52 g/cm3
- ΔE_f: 52 meV/atom
- Density of states at the Fermi level: 4.68 states/eV/f.u.

***

[2]
The following is a PBE calculation of a geometry-optimized Y2SeBr structure, from Alexandria via LeMat-Bulk.

a b c (Å): 3.827 3.827 8.897
angles (deg): 90.00 90.00 121.06
Atoms (fractional coordinates):
Y: 0.000 0.000 0.229
Y: 0.000 0.000 0.771
Se: 0.500 0.500 0.000
Br: 0.500 0.500 0.500

Output
- Calculated total energy: -5.6547 eV/atom
- ΔE to the lowest computed polymorph: 212 meV per atom
- E_form (uncorrected): -1.13 eV/atom
- Theoretical density: 5.01 g/cm3
- Density of states at the Fermi level: 2.96 states/eV/f.u.

***

[3]
The following is a PBE calculation of a geometry-optimized CaAg4Ge2 structure, from Alexandria via LeMat-Bulk.

a b c (Å): 7.715 7.715 4.370
angles (deg): 90.00 90.00 147.31
Atoms (fractional coordinates):
Ca: 0.000 0.000 0.000
Ag: 0.183 0.817 0.500
Ag: 0.318 0.682 0.000
Ag: 0.682 0.318 0.000
Ag: 0.817 0.183 0.500
Ge: 0.418 0.582 0.500
Ge: 0.582 0.418 0.500

Output
- Calculated total energy: -3.4157 eV/atom
- Theoretical density: 7.29 g/cm3
- ΔE_f: -181 meV/atom
- Density of states at the Fermi level: 2.60 states/eV/f.u.

***

[4]
The following is a PBE calculation of a geometry-optimized BaAg2Cl4 structure, from Alexandria via LeMat-Bulk.

a b c (Å): 6.356 6.356 6.356
angles (deg): 106.60 106.60 115.38
Atoms (fractional coordinates):
Ba: 0.000 0.000 0.000
Ag: 0.000 0.500 0.500
Ag: 0.500 0.000 0.500
Cl: 0.063 0.937 0.500
Cl: 0.437 0.563 0.500
Cl: 0.563 0.063 0.126
Cl: 0.937 0.437 0.874

Output
- Calculated total energy: -3.4407 eV/atom
- ΔE to the lowest computed polymorph: 23 meV per atom
- E_form (uncorrected): -1.30 eV/atom
- Theoretical density: 4.19 g/cm3
- Density of states at the Fermi level: 0.00 states/eV/f.u.

***

[5]
The following is a PBE calculation of a geometry-optimized TaCoBr2 structure, from Alexandria via LeMat-Bulk.

a b c (Å): 3.242 3.242 8.471
angles (deg): 90.00 90.00 90.00
Atoms (fractional coordinates):
Ta: 0.000 0.000 0.000
Co: 0.500 0.500 0.861
Br: 0.000 0.000 0.688
Br: 0.500 0.500 0.234

Output
- Calculated total energy: -5.6124 eV/atom
- ΔE to the lowest computed polymorph: 239 meV per atom
- E_form (uncorrected): -0.04 eV/atom
- Theoretical density: 7.45 g/cm3
- Density of states at the Fermi level: 1.01 states/eV/f.u.

***

[6]
The following is a PBE calculation of a geometry-optimized Hf2TiS structure, from Alexandria via LeMat-Bulk.

a b c (Å): 6.340 6.340 6.340
angles (deg): 98.22 98.22 135.56
Atoms (fractional coordinates):
Hf: 0.017 0.125 0.392
Hf: 0.375 0.983 0.108
Hf: 0.733 0.625 0.608
Hf: 0.875 0.267 0.892
Ti: 0.250 0.750 0.500
Ti: 0.500 0.500 0.000
S: 0.000 0.000 0.000
S: 0.750 0.250 0.500

Output
- Calculated total energy: -8.2574 eV/atom
- E_form (uncorrected): -0.28 eV/atom
- Theoretical density: 8.78 g/cm3
- Density of states at the Fermi level: 4.25 states/eV/f.u.

***

[7]
The following is a PBE calculation of a geometry-optimized CaNd2Mg structure, from Alexandria via LeMat-Bulk.

a b c (Å): 5.580 5.580 4.232
angles (deg): 90.00 90.00 90.00
Atoms (fractional coordinates):
Ca: 0.000 0.000 0.000
Nd: 0.000 0.500 0.500
Nd: 0.500 0.000 0.500
Mg: 0.500 0.500 0.000

Output
- Calculated total energy: -3.2551 eV/atom
- ΔE to the lowest computed polymorph: 32 meV per atom
- Theoretical density: 4.45 g/cm3
- ΔE_f: 28 meV/atom
- Density of states at the Fermi level: 3.01 states/eV/f.u.

***

[8]
The following is a PBE calculation of a geometry-optimized GaIrSe3 structure, from Alexandria via LeMat-Bulk.

a b c (Å): 4.804 4.804 4.804
angles (deg): 90.00 90.00 90.00
Atoms (fractional coordinates):
Ga: 0.000 0.000 0.000
Ir: 0.500 0.500 0.500
Se: 0.000 0.000 0.500
Se: 0.000 0.500 0.000
Se: 0.500 0.000 0.000

Output
- Calculated total energy: -3.3638 eV/atom
- ΔE to the lowest computed polymorph: 1491 meV per atom
- E_form (uncorrected): 1.10 eV/atom
- Theoretical density: 7.47 g/cm3
- Density of states at the Fermi level: 7.41 states/eV/f.u.

***

[9]
The following is a PBE calculation of a geometry-optimized BaTa2Cu structure, from Alexandria via LeMat-Bulk.

a b c (Å): 4.156 4.156 5.066
angles (deg): 90.00 90.00 90.00
Atoms (fractional coordinates):
Ba: 0.000 0.000 0.000
Ta: 0.000 0.500 0.500
Ta: 0.500 0.000 0.500
Cu: 0.500 0.500 0.000

Output
- Calculated total energy: -6.2693 eV/atom
- ΔE to the lowest computed polymorph: 658 meV per atom
- Theoretical density: 10.68 g/cm3
- ΔE_f: 1162 meV/atom
- Density of states at the Fermi level: 5.38 states/eV/f.u.

***

[10]
The following is a PBE calculation of a geometry-optimized Li2Bi2Pd structure, from Alexandria via LeMat-Bulk.

a b c (Å): 7.665 7.665 3.432
angles (deg): 90.00 90.00 90.00
Atoms (fractional coordinates):
Li: 0.116 0.384 0.000
Li: 0.384 0.884 0.000
Li: 0.616 0.116 0.000
Li: 0.884 0.616 0.000
Bi: 0.188 0.688 0.500
Bi: 0.312 0.188 0.500
Bi: 0.688 0.812 0.500
Bi: 0.812 0.312 0.500
Pd: 0.000 0.000 0.000
Pd: 0.500 0.500 0.000

Output
- Calculated total energy: -3.5790 eV/atom
- ΔE to the lowest computed polymorph: 145 meV per atom
- Theoretical density: 8.87 g/cm3
- ΔE_f: -222 meV/atom
- Density of states at the Fermi level: 2.02 states/eV/f.u.

***

[11]
The following is a PBE calculation of a geometry-optimized YEr3Tm7 structure, from Alexandria via LeMat-Bulk.

a b c (Å): 6.884 5.435 9.764
angles (deg): 90.00 109.75 90.00
Atoms (fractional coordinates):
Y: 0.000 0.000 0.000
Er: 0.278 0.500 0.496
Er: 0.500 0.000 0.000
Er: 0.722 0.500 0.504
Tm: 0.000 0.000 0.500
Tm: 0.149 0.500 0.791
Tm: 0.322 0.500 0.142
Tm: 0.424 0.000 0.331
Tm: 0.576 0.000 0.669
Tm: 0.678 0.500 0.858
Tm: 0.851 0.500 0.209

Output
- Calculated total energy: -4.5159 eV/atom
- ΔE to the lowest computed polymorph: 0 meV per atom
- Theoretical density: 8.56 g/cm3
- ΔE_f: 162 meV/atom
- Density of states at the Fermi level: 19.65 states/eV/f.u.

***

[12]
The following is a PBE calculation of a geometry-optimized MnCrMoW2 structure, from Alexandria via LeMat-Bulk.

a b c (Å): 4.513 4.513 4.016
angles (deg): 90.00 90.00 90.00
Atoms (fractional coordinates):
Mn: 0.000 0.000 0.000
Cr: 0.000 0.000 0.500
Mo: 0.500 0.500 0.000
W: 0.000 0.500 0.500
W: 0.500 0.000 0.500

Output
- Calculated total energy: -9.7324 eV/atom
- Theoretical density: 11.58 g/cm3
- ΔE_f: 1374 meV/atom
- Density of states at the Fermi level: 4.90 states/eV/f.u.

***

[13]
The following is a PBE calculation of a geometry-optimized LaCd2TcO6 structure, from Alexandria via LeMat-Bulk.

a b c (Å): 5.900 5.900 4.811
angles (deg): 90.00 90.00 90.00
Atoms (fractional coordinates):
La: 0.000 0.000 0.000
Cd: 0.000 0.500 0.360
Cd: 0.500 0.000 0.360
Tc: 0.500 0.500 0.998
O: 0.000 0.000 0.538
O: 0.282 0.282 0.136
O: 0.282 0.718 0.136
O: 0.500 0.500 0.643
O: 0.718 0.282 0.136
O: 0.718 0.718 0.136

Output
- Calculated total energy: -6.2597 eV/atom
- E_form (uncorrected): -1.57 eV/atom
- Theoretical density: 5.53 g/cm3
- Density of states at the Fermi level: 2.56 states/eV/f.u.

***

[14]
The following is a PBE calculation of a geometry-optimized Ac2MgBeAu6 structure, from Alexandria via LeMat-Bulk.

a b c (Å): 6.658 6.658 5.808
angles (deg): 90.00 90.00 120.00
Atoms (fractional coordinates):
Ac: 0.333 0.667 0.189
Ac: 0.667 0.333 0.811
Mg: 0.000 0.000 0.000
Be: 0.000 0.000 0.500
Au: 0.187 0.374 0.689
Au: 0.187 0.813 0.689
Au: 0.374 0.187 0.311
Au: 0.626 0.813 0.689
Au: 0.813 0.187 0.311
Au: 0.813 0.626 0.311

Output
- Calculated total energy: -3.9827 eV/atom
- Theoretical density: 12.43 g/cm3
- ΔE_f: -662 meV/atom
- Density of states at the Fermi level: 4.94 states/eV/f.u.

***

[15]
The following is a PBE calculation of a geometry-optimized ThTlIrPd structure, from Alexandria via LeMat-Bulk.

a b c (Å): 4.937 4.937 4.937
angles (deg): 60.00 60.00 60.00
Atoms (fractional coordinates):
Th: 0.000 0.000 0.000
Tl: 0.500 0.500 0.500
Ir: 0.250 0.250 0.250
Pd: 0.750 0.750 0.750

Output
- Calculated total energy: -6.4145 eV/atom
- Theoretical density: 14.35 g/cm3
- ΔE_f: -455 meV/atom
- Density of states at the Fermi level: 2.70 states/eV/f.u.

***

[16]
The following is a PBE calculation of a geometry-optimized LaTc2TeC structure, from Alexandria via LeMat-Bulk.

a b c (Å): 4.848 4.848 6.205
angles (deg): 90.00 90.00 90.00
Atoms (fractional coordinates):
La: 0.000 0.000 0.000
Tc: 0.000 0.500 0.000
Tc: 0.500 0.000 0.000
Te: 0.000 0.000 0.500
C: 0.500 0.500 0.500

Output
- Calculated total energy: -4.6750 eV/atom
- E_form (uncorrected): 2.93 eV/atom
- Theoretical density: 5.40 g/cm3
- Density of states at the Fermi level: 6.04 states/eV/f.u.

***

[17]
The following is a PBE calculation of a geometry-optimized Cs2CaHBr6 structure, from Alexandria via LeMat-Bulk.

a b c (Å): 8.456 8.456 8.456
angles (deg): 128.68 128.68 75.53
Atoms (fractional coordinates):
Cs: 0.250 0.750 0.500
Cs: 0.750 0.250 0.500
Ca: 0.000 0.000 0.000
H: 0.500 0.500 0.000
Br: 0.212 0.212 0.000
Br: 0.284 0.284 0.568
Br: 0.284 0.716 0.000
Br: 0.716 0.284 0.000
Br: 0.716 0.716 0.432
Br: 0.788 0.788 0.000

Output
- Calculated total energy: -2.8244 eV/atom
- Theoretical density: 3.64 g/cm3
- Density of states at the Fermi level: 6.79 states/eV/f.u.

***

[18]
The following is a PBE calculation of a geometry-optimized Rb2CdIrBr6 structure, from Alexandria via LeMat-Bulk.

a b c (Å): 7.663 7.663 7.663
angles (deg): 119.80 119.80 90.34
Atoms (fractional coordinates):
Rb: 0.250 0.750 0.500
Rb: 0.750 0.250 0.500
Cd: 0.000 0.000 0.000
Ir: 0.500 0.500 0.000
Br: 0.263 0.263 0.000
Br: 0.265 0.265 0.530
Br: 0.265 0.735 0.000
Br: 0.735 0.265 0.000
Br: 0.735 0.735 0.470
Br: 0.737 0.737 0.000

Output
- Calculated total energy: -3.0494 eV/atom
- E_form (uncorrected): -0.87 eV/atom
- Theoretical density: 4.97 g/cm3
- Density of states at the Fermi level: 2.34 states/eV/f.u.

***

[19]
The following is a PBE calculation of a geometry-optimized LiPd4Au structure, from Alexandria via LeMat-Bulk.

a b c (Å): 4.883 5.536 7.053
angles (deg): 90.00 104.09 90.00
Atoms (fractional coordinates):
Li: 0.221 0.250 0.172
Li: 0.779 0.750 0.828
Pd: 0.000 0.250 0.499
Pd: 0.000 0.750 0.501
Pd: 0.287 0.503 0.831
Pd: 0.287 0.997 0.831
Pd: 0.500 0.000 0.500
Pd: 0.500 0.500 0.500
Pd: 0.713 0.003 0.169
Pd: 0.713 0.497 0.169
Au: 0.208 0.750 0.159
Au: 0.792 0.250 0.841

Output
- Calculated total energy: -4.5342 eV/atom
- ΔE to the lowest computed polymorph: 0 meV per atom
- Theoretical density: 11.31 g/cm3
- ΔE_f: -207 meV/atom
- Density of states at the Fermi level: 8.56 states/eV/f.u.

***

[20]
The following is a PBE calculation of a geometry-optimized TcRh2Se structure, from Alexandria via LeMat-Bulk.

a b c (Å): 4.382 4.382 4.382
angles (deg): 60.00 60.00 60.00
Atoms (fractional coordinates):
Tc: 0.000 0.000 0.000
Rh: 0.500 0.500 0.500
Rh: 0.750 0.750 0.750
Se: 0.250 0.250 0.250

Output
- Calculated total energy: -6.9052 eV/atom
- E_form (uncorrected): 0.23 eV/atom
- Theoretical density: 10.68 g/cm3
- Density of states at the Fermi level: 5.26 states/eV/f.u.